No. 1
A geometry-optimized Hf3O structure. Source: Alexandria, functional GGA-PBE.

```
data_Hf3O
_symmetry_space_group_name_H-M 'P 1'
_symmetry_Int_Tables_number 1
_symmetry_space_group_name_Hall 'P 1'
_cell_length_a 5.387
_cell_length_b 5.387
_cell_length_c 5.387
_cell_angle_alpha 148.00
_cell_angle_beta 69.29
_cell_angle_gamma 120.37
loop_
_atom_site_label
_atom_site_fract_x
_atom_site_fract_y
_atom_site_fract_z
Hf1 0.000 0.000 0.000
Hf2 0.320 0.494 0.826
Hf3 0.667 0.494 0.174
O1 0.658 0.158 0.500
```

Values from the calculation:
uncorrected formation energy = -0.88 eV/atom
total magnetic moment = 0.0 μB/f.u.
space-group type = No. 44
total DFT energy (no corrections) = -9.5807 eV per atom


No. 2
A geometry-optimized Sm2Ge5Ir3 structure. Source: Alexandria, functional GGA-PBE.

```
data_Sm2Ge5Ir3
_symmetry_space_group_name_H-M 'P 1'
_symmetry_Int_Tables_number 1
_symmetry_space_group_name_Hall 'P 1'
_cell_length_a 8.437
_cell_length_b 8.437
_cell_length_c 8.437
_cell_angle_alpha 104.86
_cell_angle_beta 90.24
_cell_angle_gamma 137.68
loop_
_atom_site_label
_atom_site_fract_x
_atom_site_fract_y
_atom_site_fract_z
Sm1 0.133 0.227 0.361
Sm2 0.367 0.727 0.094
Sm3 0.633 0.273 0.906
Sm4 0.867 0.773 0.639
Ge1 0.026 0.750 0.276
Ge2 0.099 0.661 0.760
Ge3 0.250 0.250 0.000
Ge4 0.401 0.161 0.562
Ge5 0.474 0.750 0.724
Ge6 0.526 0.250 0.276
Ge7 0.599 0.839 0.438
Ge8 0.750 0.750 0.000
Ge9 0.901 0.339 0.240
Ge10 0.974 0.250 0.724
Ir1 0.141 0.890 0.031
Ir2 0.250 0.750 0.500
Ir3 0.359 0.390 0.748
Ir4 0.641 0.610 0.252
Ir5 0.750 0.250 0.500
Ir6 0.859 0.110 0.969
```

Values from the calculation:
excess energy over the best structure of this formula in the dataset = 0.000 eV per atom
total magnetic moment = 0.0 μB/f.u.
space-group type = No. 72
calculated formation energy = -71.51 kJ per mole of atoms
total DFT energy (no corrections) = -6.6519 eV per atom


No. 3
A geometry-optimized PrSm7Tl5 structure. Source: Alexandria, functional GGA-PBE.

```
data_PrSm7Tl5
_symmetry_space_group_name_H-M 'P 1'
_symmetry_Int_Tables_number 1
_symmetry_space_group_name_Hall 'P 1'
_cell_length_a 8.474
_cell_length_b 8.474
_cell_length_c 8.474
_cell_angle_alpha 133.53
_cell_angle_beta 100.17
_cell_angle_gamma 97.73
loop_
_atom_site_label
_atom_site_fract_x
_atom_site_fract_y
_atom_site_fract_z
Pr1 0.000 0.000 0.000
Sm1 0.157 0.465 0.692
Sm2 0.207 0.707 0.500
Sm3 0.321 0.982 0.339
Sm4 0.341 0.341 0.000
Sm5 0.643 0.982 0.661
Sm6 0.663 0.663 0.000
Sm7 0.774 0.465 0.308
Tl1 0.464 0.471 0.490
Tl2 0.464 0.974 0.993
Tl3 0.739 0.239 0.500
Tl4 0.981 0.471 0.007
Tl5 0.981 0.974 0.510
```

Values from the calculation:
total magnetic moment = 0.0 μB/f.u.
space-group type = No. 44
calculated formation energy = -18.00 kJ per mole of atoms
total DFT energy (no corrections) = -4.0054 eV per atom


No. 4
A geometry-optimized KCr2Se4 structure. Source: Alexandria, functional GGA-PBE.

```
data_KCr2Se4
_symmetry_space_group_name_H-M 'P 1'
_symmetry_Int_Tables_number 1
_symmetry_space_group_name_Hall 'P 1'
_cell_length_a 6.615
_cell_length_b 6.615
_cell_length_c 13.153
_cell_angle_alpha 90.00
_cell_angle_beta 90.00
_cell_angle_gamma 147.16
loop_
_atom_site_label
_atom_site_fract_x
_atom_site_fract_y
_atom_site_fract_z
K1 0.106 0.894 0.750
K2 0.894 0.106 0.250
Cr1 0.364 0.636 0.567
Cr2 0.364 0.636 0.933
Cr3 0.636 0.364 0.067
Cr4 0.636 0.364 0.433
Se1 0.000 0.000 0.000
Se2 0.000 0.000 0.500
Se3 0.263 0.737 0.099
Se4 0.263 0.737 0.401
Se5 0.409 0.591 0.750
Se6 0.591 0.409 0.250
Se7 0.737 0.263 0.599
Se8 0.737 0.263 0.901
```

Values from the calculation:
excess energy over the best structure of this formula in the dataset = 0.160 eV per atom
uncorrected formation energy = -0.55 eV/atom
total magnetic moment = 5.0 μB/f.u.
space-group type = No. 63
total DFT energy (no corrections) = -5.4518 eV per atom


- What is the total magnetic moment in the third record?
  0.0 μB/f.u.


- What is the formula in the fourth record?
  KCr2Se4


Please write out number 4 again, unchanged.
A geometry-optimized KCr2Se4 structure. Source: Alexandria, functional GGA-PBE.

```
data_KCr2Se4
_symmetry_space_group_name_H-M 'P 1'
_symmetry_Int_Tables_number 1
_symmetry_space_group_name_Hall 'P 1'
_cell_length_a 6.615
_cell_length_b 6.615
_cell_length_c 13.153
_cell_angle_alpha 90.00
_cell_angle_beta 90.00
_cell_angle_gamma 147.16
loop_
_atom_site_label
_atom_site_fract_x
_atom_site_fract_y
_atom_site_fract_z
K1 0.106 0.894 0.750
K2 0.894 0.106 0.250
Cr1 0.364 0.636 0.567
Cr2 0.364 0.636 0.933
Cr3 0.636 0.364 0.067
Cr4 0.636 0.364 0.433
Se1 0.000 0.000 0.000
Se2 0.000 0.000 0.500
Se3 0.263 0.737 0.099
Se4 0.263 0.737 0.401
Se5 0.409 0.591 0.750
Se6 0.591 0.409 0.250
Se7 0.737 0.263 0.599
Se8 0.737 0.263 0.901
```

Values from the calculation:
excess energy over the best structure of this formula in the dataset = 0.160 eV per atom
uncorrected formation energy = -0.55 eV/atom
total magnetic moment = 5.0 μB/f.u.
space-group type = No. 63
total DFT energy (no corrections) = -5.4518 eV per atom


- Number 3 is which compound?
  PrSm7Tl5